Compound: CuNi2Bi2
Source: the Alexandria database
Functional: PBE-GGA
Structure: relaxed

Geometry as extended XYZ:
```
10
Lattice="-1.557 -3.704 -5.526 2.695 -5.540 2.954 -3.453 -0.855 1.546" Properties=species:S:1:pos:R:3 pbc="T T T"
Cu 0.569 -4.622 -1.286
Ni 1.766 -6.173 0.531
Bi -0.545 -7.503 -0.500
Bi -2.133 -5.305 -2.832
Ni -0.629 -3.072 -3.102
Ni 0.786 -2.528 0.359
Bi -1.771 -2.597 -0.525
Ni 0.351 -6.717 -2.930
Cu 0.000 0.000 0.000
Bi -0.183 -4.794 1.806
```

As for the density of states at the Fermi level: 3.9 states/eV/f.u. For the formation energy, the calculation gives 0.186 eV per atom. Its volume is 18.11 Å³/atom.